This record from the Alexandria database describes a relaxed Na5F4 crystal. The functional is PBE-GGA.

The space group is I4/m (No. 87) and the conventional cell measures 9.4749, 9.4749 and 3.2565 Å, with angles of 90.00, 90.00 and 90.00 degrees. The inequivalent atoms are Na at (0.0000, 0.0000, 0.0000), Na at (0.0905, 0.7256, 0.5000) and F at (0.1072, 0.2004, 0.0000).

The value obtained for the theoretical density is 2.2 Mg/m³. The calculated volume is 16.241 Å³ per atom. For the raw total energy, the calculation gives -68.7 eV/cell.